Pr3MgIr: relaxed, PBE.

```
data_Pr3MgIr
_chemical_formula_sum 'Pr3 Mg1 Ir1'
_space_group_name_H-M_alt 'P m -3 m'
_space_group_IT_number 221
_space_group_name_Hall '-P 4 2 3'
_cell_length_a 5.625
_cell_length_b 5.625
_cell_length_c 5.625
_cell_angle_alpha 90.00
_cell_angle_beta 90.00
_cell_angle_gamma 90.00
loop_
_atom_site_label
_atom_site_fract_x
_atom_site_fract_y
_atom_site_fract_z
Pr1 0.000 0.000 0.500
Mg1 0.500 0.500 0.500
Ir1 0.000 0.000 0.000
```

Calculated values
energy relative to the lowest polymorph listed for this composition: 131 meV per atom
energy of formation from the pure elements: -0.17 eV/atom